# 1
Entry from Alexandria: ScMnAu after structural relaxation (PBE).

Cell lengths 3.4141, 3.4141, 9.2458 Å; angles 90.00, 90.00, 90.00 degrees
Space group I4mm (No. 107)
Symmetry-distinct sites (fractional):
Sc (0.0000, 0.0000, 0.0000) x2
Mn (0.0000, 0.0000, 0.6691) x2
Au (0.0000, 0.0000, 0.3286) x2

Values from the calculation:
- Calculated total energy: -6.538 eV/atom
- DFT formation energy: -278 meV per atom



# 2
Entry from Alexandria: Pm3ErTl after structural relaxation (PBE).

Cell lengths 5.4705, 8.5312, 7.0530 Å; angles 90.00, 90.00, 90.00 degrees
Space group Pmmn (No. 59, origin choice 2)
Symmetry-distinct sites (fractional):
Pm (0.2500, 0.0589, 0.2255) x4
Pm (0.2500, 0.2500, 0.7109) x2
Er (0.2500, 0.7500, 0.5602) x2
Tl (0.2500, 0.7500, 0.9832) x2

Values from the calculation:
- Calculated total energy: -4.299 eV/atom
- DFT formation energy: -63 meV per atom
- Offset from the most stable computed form: 0.065 eV/atom



# 3
Entry from Alexandria: TcMoP2 after structural relaxation (PBE).

Cell lengths 2.9943, 2.9943, 22.3207 Å; angles 90.00, 90.00, 120.00 degrees
Space group R3m (No. 160, hexagonal axes)
Symmetry-distinct sites (fractional):
Tc (0.0000, 0.0000, 0.0000) x3
Mo (0.0000, 0.0000, 0.2333) x3
P (0.0000, 0.0000, 0.4903) x3
P (0.0000, 0.0000, 0.7398) x3

Values from the calculation:
- Calculated total energy: -8.150 eV/atom
- DFT formation energy: -146 meV per atom
- Offset from the most stable computed form: 0.405 eV/atom



# 4
Entry from Alexandria: LiPRhCl2 after structural relaxation (PBE).

Cell lengths 4.3108, 4.3108, 4.9621 Å; angles 90.00, 90.00, 90.00 degrees
Space group P4/mmm (No. 123)
Symmetry-distinct sites (fractional):
Li (0.0000, 0.0000, 0.0000) x1
P (0.0000, 0.0000, 0.5000) x1
Rh (0.5000, 0.5000, 0.5000) x1
Cl (0.0000, 0.5000, 0.0000) x2

Values from the calculation:
- Calculated total energy: -3.215 eV/atom
- Offset from the most stable computed form: 0.783 eV/atom
- Formation energy (no corrections): 459 meV per atom



# 5
Entry from Alexandria: Tb2Er3Ag2 after structural relaxation (PBE).

Cell lengths 5.3270, 5.3270, 22.9886 Å; angles 90.00, 90.00, 120.00 degrees
Space group R-3m (No. 166, hexagonal axes)
Symmetry-distinct sites (fractional):
Tb (0.0000, 0.0000, 0.0755) x6
Er (0.0000, 0.0000, 0.3393) x6
Er (0.0000, 0.0000, 0.5000) x3
Ag (0.0000, 0.0000, 0.2125) x6

Values from the calculation:
- Calculated total energy: -4.205 eV/atom
- DFT formation energy: -112 meV per atom
- Offset from the most stable computed form: 0.000 eV/atom



# 6
Entry from Alexandria: Cd2BiRh2 after structural relaxation (PBE).

Cell lengths 7.9199, 7.9199, 3.1392 Å; angles 90.00, 90.00, 90.00 degrees
Space group P4/mbm (No. 127)
Symmetry-distinct sites (fractional):
Cd (0.1275, 0.3725, 0.0000) x4
Bi (0.0000, 0.0000, 0.0000) x2
Rh (0.1685, 0.6685, 0.5000) x4

Values from the calculation:
- Calculated total energy: -3.989 eV/atom
- DFT formation energy: 94 meV per atom
- Offset from the most stable computed form: 0.134 eV/atom